Entry 1:
This record from Alexandria via LeMat-Bulk describes an optimized crystal structure of Ba2PmZn2O6. The functional is PBE.

Cell and atoms, written as POSCAR:
```
Ba2PmZn2O6
1.0
6.164 0.000 0.000
3.082 5.338 0.000
3.082 1.779 6.045
Ba Pm Zn O
2 1 2 6
Direct
0.792 0.792 0.623 Ba
0.208 0.208 0.377 Ba
0.000 0.000 0.000 Pm
0.423 0.423 0.731 Zn
0.577 0.577 0.269 Zn
0.752 0.752 0.267 O
0.228 0.752 0.267 O
0.752 0.228 0.267 O
0.248 0.772 0.733 O
0.772 0.248 0.733 O
0.248 0.248 0.733 O
```

Summary:
Raw formation energy: -2.103 eV/atom


Entry 2:
This record from Alexandria via LeMat-Bulk describes an optimized crystal structure of BaPrO. The functional is PBE.

Cell and atoms, written as POSCAR:
```
BaPrO
1.0
-3.431 -0.647 -0.678
2.509 0.138 -3.498
2.425 -14.091 1.183
O Pr Ba
2 2 2
Direct
0.572 0.143 0.000 O
0.313 0.625 0.500 O
0.811 0.622 0.383 Pr
0.811 0.622 0.617 Pr
0.080 0.160 0.872 Ba
0.080 0.160 0.128 Ba
```

Summary:
Raw formation energy: -1.341 eV/atom
Offset from the most stable computed form: 185 meV/atom


Entry 3:
This record from Alexandria via LeMat-Bulk describes an optimized crystal structure of BaPr2O2. The functional is PBE.

Cell and atoms, written as POSCAR:
```
BaPr2O2
1.0
-3.911 0.984 1.111
-0.785 -4.029 0.805
5.233 2.768 8.092
Ba Pr O
1 2 2
Direct
0.000 0.000 0.000 Ba
0.308 0.308 0.616 Pr
0.692 0.692 0.384 Pr
0.750 0.250 0.500 O
0.250 0.750 0.500 O
```

Summary:
Raw formation energy: -2.122 eV/atom


Entry 4:
This record from Alexandria via LeMat-Bulk describes an optimized crystal structure of BaPrO. The functional is PBE.

Cell and atoms, written as POSCAR:
```
BaPrO
1.0
3.925 0.000 0.000
-1.962 3.399 0.000
0.000 0.000 6.726
Pr Ba O
1 1 1
Direct
0.667 0.333 0.476 Pr
0.000 0.000 0.917 Ba
0.333 0.667 0.607 O
```

Summary:
Raw formation energy: -1.526 eV/atom
Offset from the most stable computed form: 0 meV/atom


Entry 5:
This record from Alexandria via LeMat-Bulk describes an optimized crystal structure of BaPr2PtO5. The functional is PBE.

Cell and atoms, written as POSCAR:
```
BaPr2PtO5
1.0
-1.958 4.452 3.514
-0.154 -4.305 5.368
6.505 1.662 1.519
Ba Pr Pt O
2 4 2 10
Direct
0.000 0.500 0.500 Ba
0.000 0.000 0.000 Ba
0.500 0.675 0.175 Pr
0.500 0.175 0.325 Pr
0.500 0.825 0.675 Pr
0.500 0.325 0.825 Pr
0.000 0.000 0.500 Pt
0.000 0.500 0.000 Pt
0.500 0.500 0.500 O
0.500 0.000 0.000 O
0.252 0.139 0.639 O
0.252 0.861 0.361 O
0.252 0.361 0.139 O
0.252 0.639 0.861 O
0.748 0.139 0.639 O
0.748 0.639 0.861 O
0.748 0.861 0.361 O
0.748 0.361 0.139 O
```

Summary:
Raw formation energy: -2.565 eV/atom


Entry 6:
This record from Alexandria via LeMat-Bulk describes an optimized crystal structure of BaPr2PuO8. The functional is PBE.

Cell and atoms, written as POSCAR:
```
BaPr2PuO8
1.0
-3.506 0.813 -2.384
-0.573 -5.475 0.226
-4.359 0.731 6.657
Ba Pr Pu O
1 2 1 8
Direct
0.000 0.000 0.500 Ba
0.500 0.500 0.764 Pr
0.500 0.500 0.236 Pr
0.000 0.000 0.000 Pu
0.058 0.765 0.195 O
0.586 0.785 0.000 O
0.942 0.235 0.195 O
0.942 0.235 0.805 O
0.414 0.215 0.000 O
0.058 0.765 0.805 O
0.469 0.705 0.500 O
0.531 0.295 0.500 O
```

Summary:
Raw formation energy: -2.673 eV/atom


Number 1: final energy -64.0 eV per cell. Number 2: final energy -31.4 eV per cell. Number 3: final energy -32.0 eV per cell. Number 4: final energy -16.2 eV per cell. Number 5: final energy -130.8 eV per cell. Number 6: final energy -97.5 eV per cell.